V2ReSbSe | PBE-GGA | relaxed

## Properties
mass density	6.9	Mg/m³
formation energy (no corrections)	956	meV per atom
total DFT energy (no corrections)	-6.7021	eV/atom

a b c (Å): 4.8280 5.0157 4.8280
angles (deg): 90.00 90.00 90.00
Atoms (fractional coordinates):
1 Re 0.0000 0.0000 0.0000
2 V 0.0000 0.0000 0.5000
3 V 0.5000 0.0000 0.0000
4 Se 0.5000 0.5000 0.5000
5 Sb 0.0000 0.5000 0.0000